Ta2MoC: optimized geometry, PBEsol.

Cell: 3.9230 3.9230 7.3826 Å, 90.00 90.00 90.00°
Space group I4/mmm (No. 139)
Asymmetric unit:
Ta: 0.0000 0.5000 0.2500 [4 per cell]
Mo: 0.0000 0.0000 0.0000 [2 per cell]
C: 0.0000 0.0000 0.5000 [2 per cell]

Raw total energy = -10.683 eV/atom
M_tot = 0.00 Bohr magnetons per cell